## ScAlGaIr (PBE-GGA)

Data for ScAlGaIr after structural relaxation.

abc: 4.4827 4.4827 4.4827
angles: 60.00 60.00 60.00
Fractional positions:
Sc  0.0000  0.0000  0.0000
Al  0.7500  0.7500  0.7500
Ga  0.5000  0.5000  0.5000
Ir  0.2500  0.2500  0.2500

Summary:
Its total energy is -6.003 eV per atom. Its space group is F-43m, No. 216.

=====

## TaSiSe2 (PBE-GGA)

Data for TaSiSe2 after structural relaxation.

abc: 6.8771 6.8771 6.8771
angles: 125.91 125.91 80.04
Fractional positions:
Ta  0.0000  0.0000  0.0000
Ta  0.7500  0.2500  0.5000
Si  0.2500  0.7500  0.5000
Si  0.5000  0.5000  0.0000
Se  0.1084  0.6250  0.9834
Se  0.3750  0.3584  0.4834
Se  0.6416  0.1250  0.0166
Se  0.8750  0.8916  0.5166

Summary:
The value obtained for the formation energy from raw total energies is 402 meV/atom. Its space group is I-42d, No. 122.

=====

One value per record, in order, for DOS(E_F): 0.46, 0.72 states/eV per atom.
One value per record, in order, for total magnetization: 0.0, 1.2 μB/f.u..